Entry 1:
Here is a relaxed structure of Rb2MnTc from Alexandria. Energies are from PBE.

The calculation puts the electronic total energy at -3.60 eV per atom. The value obtained for the volume is 38.204 Å³/atom.

The space group is Fm-3m (No. 225) and the conventional cell measures 8.4868, 8.4868 and 8.4868 Å, with angles of 90.00, 90.00 and 90.00 degrees. The asymmetric unit holds Rb at (0.2500, 0.2500, 0.2500), Mn at (0.0000, 0.0000, 0.0000) and Tc at (0.0000, 0.0000, 0.5000).

Entry 2:
Here is a relaxed structure of Na5Si34 from Alexandria. Energies are from PBE.

The calculation puts the electronic total energy at -4.89 eV per atom. The value obtained for the volume is 20.607 Å³/atom.

The space group is R-3m (No. 166, hexagonal axes) and the conventional cell measures 10.4417, 10.4417 and 25.5337 Å, with angles of 90.00, 90.00 and 120.00 degrees. The asymmetric unit holds Na at (0.0000, 0.0000, 0.1394), Na at (0.0000, 0.5000, 0.0000), Si at (0.0000, 0.0000, 0.2823), Si at (0.0000, 0.0000, 0.3753), Si at (0.0051, 0.3874, 0.1237), Si at (0.0715, 0.5358, 0.6650), Si at (0.0818, 0.5409, 0.4125) and Si at (0.0860, 0.5430, 0.2607).